Material: SmY2HoSc4
Method: DFT, PBE
State: relaxed

a b c (Å): 4.914 4.914 9.341
angles (deg): 90.00 90.00 90.00
Sites, in units of the cell vectors:
1 Sm 0.000 0.000 0.000
2 Y 0.000 0.000 0.500
3 Y 0.500 0.500 0.000
4 Ho 0.500 0.500 0.500
5 Sc 0.000 0.500 0.251
6 Sc 0.000 0.500 0.749
7 Sc 0.500 0.000 0.251
8 Sc 0.500 0.000 0.749

Values from the calculation:
E	-5.8870	eV per atom
space-group type	No. 123
crystal system	tetragonal

Material: PtRhSN2
Method: DFT, PBE
State: relaxed

a b c (Å): 3.647 3.647 8.164
angles (deg): 90.00 90.00 90.00
Sites, in units of the cell vectors:
1 Pt 0.000 0.000 0.000
2 Rh 0.500 0.500 0.500
3 S 0.000 0.000 0.500
4 N 0.000 0.500 0.000
5 N 0.500 0.000 0.000

Values from the calculation:
E	-5.4969	eV per atom
raw formation energy	1.34	eV per atom
space-group type	No. 123
crystal system	tetragonal
distance to the lowest polymorph of the same formula	89	meV/atom

Material: Sr3Ga4Ge4
Method: DFT, PBE
State: relaxed

a b c (Å): 4.320 4.897 12.999
angles (deg): 80.63 80.45 90.00
Sites, in units of the cell vectors:
1 Sr 0.000 0.000 0.000
2 Sr 0.354 0.876 0.291
3 Sr 0.646 0.124 0.709
4 Ga 0.095 0.508 0.810
5 Ga 0.246 0.256 0.507
6 Ga 0.754 0.744 0.493
7 Ga 0.905 0.492 0.190
8 Ge 0.195 0.699 0.610
9 Ge 0.452 0.382 0.097
10 Ge 0.548 0.618 0.903
11 Ge 0.805 0.301 0.390

Values from the calculation:
E	-3.6737	eV per atom
space-group type	No. 2
crystal system	triclinic

Material: K2PuPaSe4
Method: DFT, PBE
State: relaxed

a b c (Å): 7.367 4.234 8.100
angles (deg): 90.00 107.38 90.00
Sites, in units of the cell vectors:
1 K 0.000 0.000 0.000
2 K 0.500 0.500 0.000
3 Pu 0.000 0.500 0.500
4 Pa 0.500 0.000 0.500
5 Se 0.244 0.000 0.708
6 Se 0.270 0.500 0.291
7 Se 0.730 0.500 0.709
8 Se 0.756 0.000 0.292

Values from the calculation:
E	-6.4200	eV per atom
raw formation energy	-1.42	eV per atom
space-group type	No. 10
crystal system	monoclinic

Material: KLi3Os
Method: DFT, PBE
State: relaxed

a b c (Å): 4.978 4.978 4.978
angles (deg): 90.00 90.00 90.00
Sites, in units of the cell vectors:
1 K 0.000 0.000 0.000
2 Li 0.000 0.500 0.500
3 Li 0.500 0.000 0.500
4 Li 0.500 0.500 0.000
5 Os 0.500 0.500 0.500

Values from the calculation:
E	-2.8147	eV per atom
space-group type	No. 221
crystal system	cubic
distance to the lowest polymorph of the same formula	0	meV/atom

Material: ReTe2PN
Method: DFT, PBE
State: relaxed

a b c (Å): 5.343 5.343 3.733
angles (deg): 90.00 90.00 90.00
Sites, in units of the cell vectors:
1 Re 0.000 0.000 0.000
2 Te 0.000 0.500 0.000
3 Te 0.500 0.000 0.000
4 P 0.500 0.500 0.500
5 N 0.000 0.000 0.500

Values from the calculation:
E	-5.8788	eV per atom
raw formation energy	0.61	eV per atom
space-group type	No. 123
crystal system	tetragonal
distance to the lowest polymorph of the same formula	0	meV/atom

Material: TmTlSn2I8
Method: DFT, PBE
State: relaxed

a b c (Å): 7.287 7.756 9.531
angles (deg): 89.98 89.94 88.86
Sites, in units of the cell vectors:
1 Tm 0.000 0.000 0.000
2 Tl 0.000 0.000 0.500
3 Sn 0.500 0.500 0.250
4 Sn 0.500 0.500 0.750
5 I 0.234 0.322 0.000
6 I 0.246 0.844 0.221
7 I 0.246 0.845 0.778
8 I 0.270 0.363 0.500
9 I 0.730 0.637 0.500
10 I 0.754 0.155 0.222
11 I 0.754 0.156 0.779
12 I 0.766 0.678 0.000

Values from the calculation:
E	-3.0456	eV per atom
raw formation energy	-0.78	eV per atom
space-group type	No. 2
crystal system	triclinic

Material: Y4Cu3Pt
Method: DFT, PBE
State: relaxed

a b c (Å): 3.820 4.452 10.383
angles (deg): 90.00 90.00 90.00
Sites, in units of the cell vectors:
1 Y 0.000 0.000 0.000
2 Y 0.000 0.500 0.277
3 Y 0.500 0.000 0.497
4 Y 0.500 0.500 0.778
5 Cu 0.000 0.000 0.709
6 Cu 0.000 0.500 0.567
7 Cu 0.500 0.500 0.060
8 Pt 0.500 0.000 0.216

Values from the calculation:
E	-6.0512	eV per atom
space-group type	No. 25
crystal system	orthorhombic